The following is a DFT calculation (GGA+U) of an optimized crystal structure of TbFe2GeO6.

```
data_TbFe2GeO6
_chemical_formula_sum 'Tb1 Fe2 Ge1 O6'
_cell_length_a 5.172
_cell_length_b 5.244
_cell_length_c 5.622
_cell_angle_alpha 63.46
_cell_angle_beta 64.18
_cell_angle_gamma 61.27
_space_group_name_H-M_alt 'P 1'
_space_group_IT_number 1
loop_
_space_group_symop_operation_xyz
'x,y,z'
loop_
_atom_site_label
_atom_site_type_symbol
_atom_site_fract_x
_atom_site_fract_y
_atom_site_fract_z
Tb1 Tb 0.000 0.000 0.000
Fe1 Fe 0.205 0.206 0.382
Fe2 Fe 0.711 0.720 0.833
Ge1 Ge 0.511 0.523 0.446
O1 O 0.140 0.803 0.627
O2 O 0.326 0.559 0.186
O3 O 0.407 0.159 0.636
O4 O 0.570 0.900 0.170
O5 O 0.766 0.429 0.653
O6 O 0.903 0.338 0.188
```

Properties
Its spin magnetization is 6.95 μB/cell. The density is 6.36 g cm⁻³. The calculation puts the total energy at -6.950 eV per atom.